(1)
First-principles (GGA-PBE) data for a relaxed structure of CaRe, as listed in the Alexandria database.

Structure (POSCAR):
```
CaRe
1.0
5.176 0.000 0.000
-2.588 4.483 0.000
0.000 0.000 4.733
Re Ca
2 2
Cartesian
0.000 0.000 2.367 Re
0.000 0.000 0.000 Re
2.588 1.494 3.550 Ca
0.000 2.989 1.183 Ca
```

Energy of formation from the pure elements in eV/atom: 0.88
Energy above the lowest structure with this stoichiometry in eV per atom: 0.576

***

(2)
First-principles (GGA-PBE) data for a relaxed structure of Li23MgHg6, as listed in the Alexandria database.

Structure (POSCAR):
```
Li23MgHg6
1.0
7.958 0.000 4.595
2.653 7.503 4.595
0.000 0.000 9.190
Li Hg Mg
23 6 1
Cartesian
5.307 6.565 13.784 Li
1.326 3.752 2.297 Li
5.306 6.695 9.190 Li
1.327 0.938 2.299 Li
2.531 4.733 9.190 Li
6.693 4.733 11.593 Li
3.918 2.771 11.593 Li
9.284 6.565 16.081 Li
1.326 3.752 6.892 Li
0.000 0.000 0.000 Li
3.979 0.000 6.892 Li
2.653 4.688 4.595 Li
5.306 3.752 4.595 Li
3.979 0.000 2.297 Li
5.304 0.938 4.595 Li
0.000 0.000 4.595 Li
3.918 2.771 6.787 Li
1.327 0.938 6.891 Li
8.080 2.771 9.190 Li
5.306 0.809 9.190 Li
7.958 2.815 13.784 Li
6.693 4.733 6.787 Li
9.284 6.565 11.488 Li
2.689 1.901 9.190 Hg
3.997 5.602 6.923 Hg
6.614 1.901 11.456 Hg
3.997 5.602 11.456 Hg
6.614 1.901 6.923 Hg
7.922 5.602 9.190 Hg
5.306 3.752 9.190 Mg
```

Energy of formation from the pure elements in eV/atom: -0.19

***

(3)
First-principles (GGA-PBE) data for a relaxed structure of Hg2AsSe, as listed in the Alexandria database.

Structure (POSCAR):
```
Hg2AsSe
1.0
2.803 0.016 0.000
-0.018 2.802 0.000
0.000 0.000 13.137
Hg As Se
2 1 1
Cartesian
0.000 0.000 6.632 Hg
0.000 0.000 13.073 Hg
1.392 1.409 9.853 As
1.392 1.409 3.284 Se
```

Raw formation energy in eV per formula unit: 1.03

***

(4)
First-principles (GGA-PBE) data for a relaxed structure of CaCrMo, as listed in the Alexandria database.

Structure (POSCAR):
```
CaCrMo
1.0
-6.092 0.202 -0.447
-4.729 -1.357 3.626
5.422 2.712 -0.776
Ca Cr Mo
1 1 1
Cartesian
-10.809 -1.154 3.175 Ca
-3.175 -0.339 0.933 Cr
-7.659 -0.817 2.250 Mo
```

Energy of formation from the pure elements in eV/atom: 0.54
Energy above the lowest structure with this stoichiometry in eV per atom: 0.000

***

(5)
First-principles (GGA-PBE) data for a relaxed structure of CaW3I, as listed in the Alexandria database.

Structure (POSCAR):
```
CaW3I
1.0
4.947 0.000 0.000
0.000 4.947 0.000
0.000 0.000 4.947
W I Ca
3 1 1
Cartesian
2.474 0.000 0.000 W
0.000 2.474 0.000 W
0.000 0.000 2.474 W
0.000 0.000 0.000 I
2.474 2.474 2.474 Ca
```

Energy above the lowest structure with this stoichiometry in eV per atom: 0.000
Raw formation energy in eV per formula unit: 11.49

***

(6)
First-principles (GGA-PBE) data for a relaxed structure of Pm4Nd3S8, as listed in the Alexandria database.

Structure (POSCAR):
```
Pm4Nd3S8
1.0
-1.226 6.203 5.033
-2.609 -7.392 1.987
7.465 -2.921 -1.070
Nd S Pm
3 8 4
Cartesian
1.815 -2.055 2.975 Nd
-1.917 -0.595 3.510 Nd
3.119 1.641 1.981 Nd
4.953 -4.035 -0.308 S
4.344 -0.933 2.208 S
-0.097 -6.277 1.225 S
3.036 -4.642 3.214 S
-0.017 3.628 5.251 S
3.647 -7.738 0.699 S
0.594 0.532 2.736 S
-0.714 -3.177 3.742 S
-1.304 -3.696 0.994 Pm
0.000 0.000 0.000 Pm
3.732 -1.460 -0.535 Pm
-0.613 3.101 2.517 Pm
```

Raw formation energy in eV per formula unit: -30.73

***

(7)
First-principles (GGA-PBE) data for a relaxed structure of Ca2TbN, as listed in the Alexandria database.

Structure (POSCAR):
```
Ca2TbN
1.0
-1.305 2.466 -2.152
-1.586 -0.942 -3.002
-9.633 0.046 3.008
Ca N Tb
2 1 1
Cartesian
-6.415 0.217 1.254 Ca
-6.109 1.352 -3.399 Ca
-6.262 0.785 -1.073 N
0.000 0.000 0.000 Tb
```

Raw formation energy in eV per formula unit: -1.67

***

(8)
First-principles (GGA-PBE) data for a relaxed structure of Na2AcIn2Hg2, as listed in the Alexandria database.

Structure (POSCAR):
```
Na2AcIn2Hg2
1.0
5.113 0.000 0.000
2.557 4.428 0.000
2.557 1.476 9.152
In Ac Na Hg
2 1 2 2
Cartesian
2.557 1.476 1.959 In
7.670 4.428 7.193 In
0.000 0.000 0.000 Ac
7.670 4.428 3.715 Na
2.557 1.476 5.437 Na
5.113 2.952 7.337 Hg
5.113 2.952 1.815 Hg
```

Energy of formation from the pure elements in eV/atom: -0.30